Entry 1:
Compound: Ba2Ge4Pt3Rh
Source: Alexandria via LeMat-Bulk
Functional: GGA-PBE
Structure: relaxed

a b c (Å): 4.4760 4.4760 10.5502
angles (deg): 90.00 90.00 90.00
Closest atoms and distances in Å follow each position.
Space group P-4m2 (No. 115)
Inequivalent atoms, fractional coordinates:
1 Ba 0.0000 0.5000 0.2460 (multiplicity 2)  6 Pt 3.42-3.49, 8 Ge 3.43-3.46, 2 Rh 3.49
2 Ge 0.0000 0.0000 0.0000 (multiplicity 1)  4 Pt 2.58
3 Ge 0.0000 0.5000 0.6207 (multiplicity 2)  2 Rh 2.57, 3 Pt 2.57-2.71
4 Ge 0.5000 0.5000 0.0000 (multiplicity 1)  4 Pt 2.58
5 Pt 0.0000 0.5000 0.8774 (multiplicity 2)  5 Ge 2.58-2.71
6 Pt 0.5000 0.5000 0.5000 (multiplicity 1)  4 Ge 2.57
7 Rh 0.0000 0.0000 0.5000 (multiplicity 1)  4 Ge 2.57

* volume: 21.1 Å³ per atom
* ΔH_f (0 K): -7.40 eV/f.u.



Entry 2:
Compound: SrPr4Dy3Se8
Source: Alexandria via LeMat-Bulk
Functional: GGA-PBE
Structure: relaxed

a b c (Å): 8.3640 8.3640 20.9198
angles (deg): 90.00 90.00 120.00
Closest atoms and distances in Å follow each position.
Space group R-3m (No. 166, hexagonal axes)
Inequivalent atoms, fractional coordinates:
1 Sr 0.0000 0.0000 0.0000 (multiplicity 3)  6 Se 2.98
2 Pr 0.0000 0.0000 0.5000 (multiplicity 3)  6 Se 2.98
3 Pr 0.0000 0.5000 0.5000 (multiplicity 9)  6 Se 3.05
4 Dy 0.0000 0.5000 0.0000 (multiplicity 9)  6 Se 2.91
5 Se 0.0000 0.0000 0.2559 (multiplicity 6)  3 Dy 2.91, 3 Pr 3.05
6 Se 0.0083 0.5042 0.2539 (multiplicity 18)  2 Dy 2.91, 3 Pr 2.98-3.05, 1 Sr 2.98

* volume: 26.4 Å³ per atom
* energy relative to the elements, uncorrected: -2804.3 kJ/mol of formula units



Entry 3:
Compound: KMgTlIn
Source: Alexandria via LeMat-Bulk
Functional: GGA-PBE
Structure: relaxed

a b c (Å): 7.7964 7.7964 7.7964
angles (deg): 90.00 90.00 90.00
Closest atoms and distances in Å follow each position.
Space group F-43m (No. 216)
Inequivalent atoms, fractional coordinates:
1 K 0.0000 0.0000 0.0000 (multiplicity 4)  4 Tl 3.38, 4 In 3.38
2 Mg 0.0000 0.0000 0.5000 (multiplicity 4)  4 Tl 3.38, 4 In 3.38
3 Tl 0.2500 0.2500 0.2500 (multiplicity 4)  4 K 3.38, 4 Mg 3.38
4 In 0.2500 0.2500 0.7500 (multiplicity 4)  4 K 3.38, 4 Mg 3.38

* volume: 29.6 Å³ per atom
* ΔH_f (0 K): 0.08 eV/f.u.



Entry 4:
Compound: K2Sr2SbO6
Source: Alexandria via LeMat-Bulk
Functional: GGA-PBE
Structure: relaxed

a b c (Å): 6.2607 10.6209 6.6469
angles (deg): 90.00 106.82 90.00
Closest atoms and distances in Å follow each position.
Space group C2/m (No. 12)
Inequivalent atoms, fractional coordinates:
1 K 0.0000 0.1587 0.0000 (multiplicity 4)  4 O 2.74
2 Sr 0.0000 0.3393 0.5000 (multiplicity 4)  6 O 2.51-2.57
3 Sb 0.0000 0.0000 0.5000 (multiplicity 2)  6 O 2.03-2.05
4 O 0.1868 0.1412 0.6758 (multiplicity 8)  1 Sb 2.05
5 O 0.2131 0.0000 0.3204 (multiplicity 4)  1 Sb 2.03

* volume: 19.2 Å³ per atom
* energy relative to the elements, uncorrected: -2016.4 kJ/mol of formula units



Entry 5:
Compound: HfTaRh2C
Source: Alexandria via LeMat-Bulk
Functional: GGA-PBE
Structure: relaxed

a b c (Å): 4.7493 4.7493 4.1260
angles (deg): 90.00 90.00 90.00
Closest atoms and distances in Å follow each position.
Space group P4/mmm (No. 123)
Inequivalent atoms, fractional coordinates:
1 Hf 0.0000 0.0000 0.0000 (multiplicity 1)  2 C 2.06
2 Ta 0.5000 0.5000 0.5000 (multiplicity 1)  8 Rh 3.15, 4 C 3.36
3 Rh 0.0000 0.5000 0.0000 (multiplicity 2)  2 Hf 2.37
4 C 0.0000 0.0000 0.5000 (multiplicity 1)  2 Hf 2.06

* volume: 18.6 Å³ per atom
* ΔH_f (0 K): 7.14 eV/f.u.
* energy relative to the lowest polymorph listed for this composition: 0 meV/atom



Entry 6:
Compound: Ba2HoBi3O12
Source: Alexandria via LeMat-Bulk
Functional: GGA-PBE
Structure: relaxed

a b c (Å): 7.8259 7.8259 17.0239
angles (deg): 90.00 90.00 120.00
Closest atoms and distances in Å follow each position.
Space group R-3m (No. 166, hexagonal axes)
Inequivalent atoms, fractional coordinates:
1 Ba 0.0000 0.0000 0.1154 (multiplicity 6)  3 O 2.69
2 Ho 0.0000 0.0000 0.5000 (multiplicity 3)  6 O 2.44
3 Bi 0.0000 0.5000 0.0000 (multiplicity 9)  6 O 2.12-2.13
4 O 0.0114 0.5057 0.8750 (multiplicity 18)  1 Bi 2.13
5 O 0.0594 0.5297 0.3123 (multiplicity 18)  2 Bi 2.12

* volume: 16.7 Å³ per atom
* energy relative to the elements, uncorrected: -2496.1 kJ/mol of formula units